(1)
Entry from the Alexandria database: an optimized crystal structure of AlAgHg (PBE-GGA).

Cell: 4.978 4.978 4.978 Å, 137.28 135.49 63.40°
Positions (direct):
Al: 0.000 0.000 0.000
Ag: 0.336 0.336 0.000
Hg: 0.669 0.669 0.000

Output
V = 58 Å³/f.u.
energy of formation from the pure elements = 0.3 eV/f.u.
calculated total energy = -6.6 eV per cell
M_tot = 0.0 Bohr magnetons per cell
symmetry = No. 44
offset from the most stable computed form = 0.0392 eV per atom

(2)
Entry from the Alexandria database: an optimized crystal structure of PuGaSn6 (PBE-GGA).

Cell: 6.231 5.356 6.904 Å, 90.00 116.24 90.00°
Positions (direct):
Pu: 0.000 0.000 0.000
Ga: 0.500 0.000 0.500
Sn: 0.000 0.000 0.500
Sn: 0.136 0.500 0.760
Sn: 0.378 0.500 0.252
Sn: 0.500 0.000 0.000
Sn: 0.622 0.500 0.748
Sn: 0.864 0.500 0.240

Output
V = 207 Å³/f.u.
energy of formation from the pure elements = -0.9 eV/f.u.
calculated total energy = -42.3 eV per cell
M_tot = 5.7 Bohr magnetons per cell
symmetry = No. 10